[1]
Material: KP5Pd3
Method: DFT, PBE
State: optimized geometry

Cell and atoms, written as POSCAR:
```
KP5Pd3
1.0
5.5217 0.0000 0.0000
-2.7608 4.7819 0.0000
0.0000 0.0000 7.5108
K P Pd
1 5 3
Direct
0.0000 0.0000 0.0000
0.0000 0.0000 0.5000
0.3333 0.6667 0.2554
0.3333 0.6667 0.7446
0.6667 0.3333 0.2554
0.6667 0.3333 0.7446
0.0000 0.5000 0.5000
0.5000 0.0000 0.5000
0.5000 0.5000 0.5000
```

Calculated values
Energy in eV per atom: -4.7728
Symmetry: No. 191


[2]
Material: PrReNO
Method: DFT, PBE
State: optimized geometry

Cell and atoms, written as POSCAR:
```
PrReNO
1.0
4.8125 0.0000 0.0000
0.0000 4.8125 0.0000
0.0000 0.0000 4.9395
Pr Re N O
2 2 2 2
Direct
0.2500 0.7500 0.0000
0.7500 0.2500 0.0000
0.2500 0.2500 0.4969
0.7500 0.7500 0.5031
0.2500 0.2500 0.0953
0.7500 0.7500 0.9047
0.2500 0.7500 0.5000
0.7500 0.2500 0.5000
```

Calculated values
ΔE to the lowest computed polymorph in meV/atom: 932
Symmetry: No. 129


[3]
Material: LaMgZn2
Method: DFT, PBE
State: optimized geometry

Cell and atoms, written as POSCAR:
```
LaMgZn2
1.0
4.8632 0.0000 0.0000
-2.4316 4.2117 0.0000
0.0000 0.0000 8.7877
La Mg Zn
2 2 4
Direct
0.3333 0.6667 0.2500
0.6667 0.3333 0.7500
0.0000 0.0000 0.0000
0.0000 0.0000 0.5000
0.3333 0.6667 0.5970
0.3333 0.6667 0.9030
0.6667 0.3333 0.0970
0.6667 0.3333 0.4030
```

Calculated values
Energy in eV per atom: -2.5793
Symmetry: No. 194


[4]
Material: Y2TmFe6Co3
Method: DFT, PBE
State: optimized geometry

Cell and atoms, written as POSCAR:
```
Y2TmFe6Co3
1.0
2.5221 1.4561 8.1109
-2.5221 1.4561 8.1109
0.0000 -2.9122 8.1109
Y Tm Fe Co
2 1 6 3
Direct
0.1418 0.1418 0.1418
0.8582 0.8582 0.8582
0.0000 0.0000 0.0000
0.0813 0.5810 0.5810
0.4190 0.4190 0.9187
0.4190 0.9187 0.4190
0.5810 0.0813 0.5810
0.5810 0.5810 0.0813
0.9187 0.4190 0.4190
0.3323 0.3323 0.3323
0.5000 0.5000 0.5000
0.6677 0.6677 0.6677
```

Calculated values
Energy of formation in eV/atom: -0.117
Symmetry: No. 166


[5]
Material: ScAlFeAg
Method: DFT, PBE
State: optimized geometry

Cell and atoms, written as POSCAR:
```
ScAlFeAg
1.0
0.0000 3.2196 3.2196
3.2196 0.0000 3.2196
3.2196 3.2196 0.0000
Sc Al Fe Ag
1 1 1 1
Direct
0.0000 0.0000 0.0000
0.2500 0.2500 0.2500
0.5000 0.5000 0.5000
0.7500 0.7500 0.7500
```

Calculated values
ΔE to the lowest computed polymorph in meV/atom: 104
Symmetry: No. 216


[6]
Material: CuH26C20S2I
Method: DFT, PBE
State: optimized geometry

Cell and atoms, written as POSCAR:
```
CuH26C20S2I
1.0
7.7633 0.0000 0.0000
-2.6002 11.1103 0.0000
-1.5852 -3.2819 12.1521
Cu H C S I
2 52 40 4 2
Direct
0.0798 0.4594 0.0825
0.9202 0.5406 0.9175
0.0148 0.4564 0.3107
0.0413 0.0852 0.6428
0.0727 0.6746 0.3022
0.0768 0.0946 0.2769
0.0801 0.0709 0.0788
0.0811 0.4026 0.5391
0.0873 0.7615 0.7627
0.1095 0.8949 0.5342
0.1317 0.6302 0.5450
0.2224 0.9826 0.8836
0.2262 0.4846 0.3952
0.2350 0.1812 0.0328
0.2355 0.7699 0.1647
0.2424 0.1879 0.4696
0.2462 0.7098 0.8411
0.2816 0.7162 0.3982
0.2855 0.2531 0.7728
0.3308 0.9544 0.3150
0.3539 0.9347 0.0544
0.3748 0.9211 0.8118
0.3793 0.5475 0.6415
0.4001 0.7103 0.1009
0.4263 0.8782 0.5552
0.4549 0.3609 0.1676
0.4879 0.6317 0.4886
0.4966 0.8617 0.9820
0.5034 0.1383 0.0180
0.5121 0.3683 0.5114
0.5451 0.6391 0.8324
0.5737 0.1218 0.4448
0.5999 0.2897 0.8991
0.6207 0.4525 0.3585
0.6252 0.0789 0.1882
0.6461 0.0653 0.9456
0.6692 0.0456 0.6850
0.7145 0.7469 0.2272
0.7184 0.2838 0.6018
0.7538 0.2902 0.1589
0.7576 0.8121 0.5304
0.7645 0.2301 0.8353
0.7650 0.8188 0.9672
0.7738 0.5154 0.6048
0.7776 0.0174 0.1164
0.8683 0.3698 0.4550
0.8905 0.1051 0.4658
0.9127 0.2385 0.2373
0.9189 0.5974 0.4609
0.9199 0.9291 0.9212
0.9232 0.9054 0.7231
0.9273 0.3254 0.6978
0.9587 0.9148 0.3572
0.9852 0.5436 0.6893
0.0326 0.5574 0.4790
0.1157 0.5271 0.3769
0.1490 0.1704 0.0944
0.1712 0.7812 0.8444
0.1792 0.0761 0.6516
0.1849 0.6401 0.3341
0.1958 0.1737 0.2951
0.2172 0.9699 0.5905
0.2538 0.2220 0.2093
0.2883 0.2260 0.4033
0.2987 0.9115 0.8785
0.3165 0.1707 0.7248
0.3586 0.7394 0.1804
0.3940 0.9601 0.6023
0.4083 0.3221 0.2335
0.4293 0.9377 0.9865
0.4412 0.3266 0.4266
0.4685 0.9450 0.3245
0.4944 0.1608 0.7382
0.4984 0.6262 0.6586
0.5016 0.3738 0.3414
0.5056 0.8392 0.2618
0.5315 0.0550 0.6755
0.5588 0.6734 0.5734
0.5707 0.0623 0.0135
0.5917 0.6779 0.7665
0.6060 0.0399 0.3977
0.6414 0.2606 0.8196
0.6835 0.8293 0.2752
0.7013 0.0885 0.1215
0.7117 0.7740 0.5967
0.7462 0.7780 0.7907
0.7828 0.0301 0.4095
0.8042 0.8263 0.7049
0.8151 0.3599 0.6659
0.8208 0.9239 0.3484
0.8288 0.2188 0.1556
0.8510 0.8296 0.9056
0.8843 0.4729 0.6231
0.9674 0.4426 0.5210
0.0233 0.7502 0.9412
0.2995 0.5942 0.2216
0.7005 0.4058 0.7784
0.9767 0.2498 0.0588
0.2233 0.4693 0.9044
0.7767 0.5307 0.0956
```

Calculated values
Energy in eV per atom: -5.8052
Symmetry: No. 2


[7]
Material: SrNdNi2As2
Method: DFT, PBE
State: optimized geometry

Cell and atoms, written as POSCAR:
```
SrNdNi2As2
1.0
4.1248 0.0000 0.0000
-2.0624 3.5722 0.0000
0.0000 0.0000 8.4823
Sr Nd Ni As
1 1 2 2
Direct
0.0000 0.0000 0.0000
0.0000 0.0000 0.5000
0.3333 0.6667 0.7348
0.6667 0.3333 0.2652
0.3333 0.6667 0.2615
0.6667 0.3333 0.7385
```

Calculated values
Energy in eV per atom: -5.4129
Symmetry: No. 164


[8]
Material: Nb2PdSe4S2
Method: DFT, PBE
State: optimized geometry

Cell and atoms, written as POSCAR:
```
Nb2PdSe4S2
1.0
6.7527 -1.6835 0.0000
6.7527 1.6835 0.0000
-5.4526 0.0000 9.2656
Nb Pd Se S
2 1 4 2
Direct
0.1816 0.1816 0.2970
0.8184 0.8184 0.7030
0.5000 0.5000 0.0000
0.2867 0.2867 0.8673
0.4877 0.4877 0.7620
0.5123 0.5123 0.2380
0.7133 0.7133 0.1327
0.1741 0.1741 0.5358
0.8259 0.8259 0.4642
```

Calculated values
ΔE to the lowest computed polymorph in meV/atom: 3
Symmetry: No. 12


[9]
Material: BaCuSi2
Method: DFT, PBE
State: optimized geometry

Cell and atoms, written as POSCAR:
```
BaCuSi2
1.0
0.0000 3.5170 3.5170
3.5170 0.0000 3.5170
3.5170 3.5170 0.0000
Ba Cu Si
1 1 2
Direct
0.0000 0.0000 0.0000
0.2500 0.2500 0.2500
0.5000 0.5000 0.5000
0.7500 0.7500 0.7500
```

Calculated values
Energy in eV per atom: -3.7183
Symmetry: No. 216


[10]
Material: ZrZnCo2
Method: DFT, PBE
State: optimized geometry

Cell and atoms, written as POSCAR:
```
ZrZnCo2
1.0
0.0000 3.0682 3.0682
3.0682 0.0000 3.0682
3.0682 3.0682 0.0000
Zr Zn Co
1 1 2
Direct
0.0000 0.0000 0.0000
0.2500 0.2500 0.2500
0.5000 0.5000 0.5000
0.7500 0.7500 0.7500
```

Calculated values
Energy of formation in eV/atom: 0.013
Symmetry: No. 216